Tb2Dy2Zn | GGA-PBE | relaxed

Output
Formation enthalpy at 0 K ... -0.126 eV per atom
Energy above the most stable polymorph in this dataset ... 0.0 meV/atom
D(E_F) ... 11.6 states/eV per cell
VASP energy ... -40.74 eV for the cell shown

a b c (Å): 3.556 3.556 22.302
angles (deg): 90.00 90.00 90.00
Space group I4/mmm (No. 139)
Asymmetric unit:
1 Tb 0.000 0.000 0.194 x4
2 Dy 0.000 0.000 0.421 x4
3 Zn 0.000 0.000 0.000 x2


Tb3Dy2Zn2 | GGA-PBE | relaxed

Output
Formation enthalpy at 0 K ... -0.106 eV per atom
Energy above the most stable polymorph in this dataset ... 42.4 meV/atom
D(E_F) ... 21.0 states/eV per cell
VASP energy ... -52.76 eV for the cell shown

a b c (Å): 3.547 30.728 3.515
angles (deg): 90.00 90.00 90.00
Space group Cmmm (No. 65)
Asymmetric unit:
1 Tb 0.000 0.000 0.000 x2
2 Tb 0.000 0.118 0.000 x4
3 Dy 0.000 0.299 0.500 x4
4 Zn 0.000 0.442 0.500 x4


Tb2Dy2Zn3 | GGA-PBE | relaxed

Output
Formation enthalpy at 0 K ... -0.197 eV per atom
D(E_F) ... 18.4 states/eV per cell
VASP energy ... -47.34 eV for the cell shown

a b c (Å): 8.668 5.020 8.584
angles (deg): 90.00 109.61 90.00
Space group C2/m (No. 12)
Asymmetric unit:
1 Tb 0.128 0.000 0.382 x4
2 Dy 0.121 0.500 0.864 x4
3 Zn 0.000 0.000 0.000 x2
4 Zn 0.248 0.500 0.242 x4


Tb3DyZn2 | GGA-PBE | relaxed

Output
Formation enthalpy at 0 K ... -0.222 eV per atom
D(E_F) ... 6.0 states/eV per cell
VASP energy ... -22.37 eV for the cell shown

a b c (Å): 3.579 3.579 12.158
angles (deg): 90.00 90.00 90.00
Space group P4/mmm (No. 123)
Asymmetric unit:
1 Tb 0.000 0.000 0.000 x1
2 Tb 0.000 0.000 0.292 x2
3 Dy 0.500 0.500 0.500 x1
4 Zn 0.500 0.500 0.145 x2


TbDy3Zn | GGA-PBE | relaxed

Output
Formation enthalpy at 0 K ... 0.059 eV per atom
Energy above the most stable polymorph in this dataset ... 177.8 meV/atom
D(E_F) ... 30.0 states/eV per cell
VASP energy ... -77.66 eV for the cell shown

a b c (Å): 11.446 8.394 7.704
angles (deg): 90.00 124.20 90.00
Space group C2/m (No. 12)
Asymmetric unit:
1 Tb 0.081 0.000 0.270 x4
2 Dy 0.047 0.500 0.309 x4
3 Dy 0.187 0.202 0.711 x8
4 Zn 0.233 0.000 0.062 x4


TbDy5Zn6 | GGA-PBE | relaxed

Output
Formation enthalpy at 0 K ... -0.340 eV per atom
D(E_F) ... 29.1 states/eV per cell
VASP energy ... -78.72 eV for the cell shown

a b c (Å): 5.040 15.122 7.167
angles (deg): 90.00 90.00 90.00
Space group Cmmm (No. 65)
Asymmetric unit:
1 Tb 0.000 0.000 0.000 x2
2 Dy 0.000 0.000 0.500 x2
3 Dy 0.000 0.333 0.000 x4
4 Dy 0.000 0.334 0.500 x4
5 Zn 0.000 0.167 0.251 x8
6 Zn 0.000 0.500 0.251 x4


TbDy2Zn6 | GGA-PBE | relaxed

Output
Formation enthalpy at 0 K ... -0.382 eV per atom
D(E_F) ... 6.0 states/eV per cell
VASP energy ... -24.91 eV for the cell shown

a b c (Å): 7.7583 7.7583 3.5041
angles (deg): 90.00 90.00 120.00
Space group P6/mmm (No. 191)
Asymmetric unit:
1 Tb 0.0000 0.0000 0.0000 x1
2 Dy 0.3333 0.6667 0.0000 x2
3 Zn 0.0000 0.3338 0.5000 x6


TbDyZn4 | GGA-PBE | relaxed

Output
Formation enthalpy at 0 K ... -0.376 eV per atom
Energy above the most stable polymorph in this dataset ... 0.0 meV/atom
D(E_F) ... 9.8 states/eV per cell
VASP energy ... -33.17 eV for the cell shown

a b c (Å): 4.495 7.003 7.753
angles (deg): 90.00 90.00 90.00
Space group Immm (No. 71)
Asymmetric unit:
1 Tb 0.000 0.000 0.000 x2
2 Dy 0.000 0.500 0.000 x2
3 Zn 0.000 0.250 0.333 x8


Tb2DyZn | GGA-PBE | relaxed

Output
Formation enthalpy at 0 K ... 0.049 eV per atom
Energy above the most stable polymorph in this dataset ... 209.1 meV/atom
D(E_F) ... 19.4 states/eV per cell
VASP energy ... -59.76 eV for the cell shown

a b c (Å): 7.548 7.548 7.548
angles (deg): 90.00 90.00 90.00
Space group Fm-3m (No. 225)
Asymmetric unit:
1 Tb 0.250 0.250 0.250 x8
2 Dy 0.000 0.000 0.000 x4
3 Zn 0.000 0.000 0.500 x4


TbDy2Zn3 | GGA-PBE | relaxed

Output
Formation enthalpy at 0 K ... -0.339 eV per atom
D(E_F) ... 7.0 states/eV per cell
VASP energy ... -19.69 eV for the cell shown

a b c (Å): 3.577 3.577 10.701
angles (deg): 90.00 90.00 90.00
Space group P4/mmm (No. 123)
Asymmetric unit:
1 Tb 0.000 0.000 0.000 x1
2 Dy 0.000 0.000 0.334 x2
3 Zn 0.500 0.500 0.168 x2
4 Zn 0.500 0.500 0.500 x1


Tb2DyZn | GGA-PBE | relaxed

Output
Formation enthalpy at 0 K ... 0.002 eV per atom
Energy above the most stable polymorph in this dataset ... 161.7 meV/atom
D(E_F) ... 4.4 states/eV per cell
VASP energy ... -15.13 eV for the cell shown

a b c (Å): 5.366 5.366 3.761
angles (deg): 90.00 90.00 90.00
Space group P4/mmm (No. 123)
Asymmetric unit:
1 Tb 0.000 0.500 0.000 x2
2 Dy 0.000 0.000 0.500 x1
3 Zn 0.500 0.500 0.500 x1


Tb12Dy3Zn | GGA-PBE | relaxed

Output
Formation enthalpy at 0 K ... 0.016 eV per atom
D(E_F) ... 22.3 states/eV per cell
VASP energy ... -70.38 eV for the cell shown

a b c (Å): 4.956 4.956 19.990
angles (deg): 90.00 90.00 90.00
Space group P4/mmm (No. 123)
Asymmetric unit:
1 Tb 0.000 0.000 0.000 x1
2 Tb 0.000 0.000 0.242 x2
3 Tb 0.000 0.000 0.500 x1
4 Tb 0.000 0.500 0.118 x4
5 Tb 0.000 0.500 0.372 x4
6 Dy 0.500 0.500 0.245 x2
7 Dy 0.500 0.500 0.500 x1
8 Zn 0.500 0.500 0.000 x1


- formation enthalpy at 0 K of number 4 (Tb3DyZn2)?
  -0.222 eV per atom